1.
Computed, not measured: Sr2RePb after structural relaxation at the PBE level of DFT.

space-group type: P4/mmm, No. 123
energy of formation from the pure elements: 584 meV per atom

Cell: 3.3367 3.3367 10.0611 Å, 90.00 90.00 90.00°
Fractional positions:
Sr 0.0000 0.0000 0.2202
Sr 0.0000 0.0000 0.7798
Re 0.5000 0.5000 0.0000
Pb 0.5000 0.5000 0.5000

2.
Computed, not measured: Ce2SnN after structural relaxation at the PBE level of DFT.

energy relative to the elements, uncorrected: -2.77 eV/f.u.
space-group type: P4/mmm, No. 123

Cell: 3.1641 3.1641 7.9803 Å, 90.00 90.00 90.00°
Fractional positions:
Ce 0.0000 0.0000 0.1824
Ce 0.0000 0.0000 0.8176
Sn 0.5000 0.5000 0.5000
N 0.5000 0.5000 0.0000

Energy for the records above, in order: -4.30 -6.74 eV per atom
DOS(E_F) for the records above, in order: 3.441 8.452 states/eV/cell